Run w
A plane-wave DFT calculation with GGA-PBE was carried out for a geometry-optimized GeSbTePd structure.

crystal system	monoclinic

a = 5.526 Å, b = 5.683 Å, c = 6.032 Å
α = 90.00°, β = 103.05°, γ = 90.00°
Atoms (fractional coordinates):
Te  0.253  0.000  0.365
Te  0.253  0.500  0.865
Ge  0.164  0.500  0.308
Ge  0.164  0.000  0.808
Sb  0.709  0.500  0.488
Sb  0.709  0.000  0.988
Pd  0.757  0.500  0.971
Pd  0.757  0.000  0.471

Run x
A plane-wave DFT calculation with GGA-PBE was carried out for a geometry-optimized GeSbTePd structure.

crystal system	monoclinic

a = 4.105 Å, b = 4.103 Å, c = 6.612 Å
α = 90.01°, β = 90.04°, γ = 120.00°
Atoms (fractional coordinates):
Sb  0.943  0.325  0.179
Pd  0.610  0.658  0.393
Te  0.277  0.992  0.615
Ge  0.609  0.657  0.930

The relative energies come out as run w 2.1; run x 0.0, with values in kJ/mol of atoms.